(1)
VASP calculation (GGA-PBE) on a relaxed TbSm2Ge3Pt4 crystal.

abc: 4.2896 4.2896 11.2335
angles: 90.00 90.00 90.00
Fractional positions:
Tb 0.5000 0.5000 0.5000
Ge 0.0000 0.5000 0.1235
Ge 0.0000 0.0000 0.5000
Ge 0.5000 0.0000 0.8765
Pt 0.0000 0.5000 0.3417
Pt 0.5000 0.5000 0.0000
Pt 0.0000 0.0000 0.0000
Pt 0.5000 0.0000 0.6583
Sm 0.5000 0.0000 0.2200
Sm 0.0000 0.5000 0.7800

Computed properties:
Space group: P-4m2 (115)
DFT formation energy in eV per atom: -0.954

=====

(2)
VASP calculation (GGA-PBE) on a relaxed Dy2Cu15Au2 crystal.

abc: 6.5476 6.5476 6.5476
angles: 83.42 83.42 83.42
Fractional positions:
Cu 0.0000 0.3014 0.6986
Cu 0.3014 0.6986 0.0000
Cu 0.5000 0.0000 0.0000
Cu 0.6986 0.3014 0.0000
Cu 0.8391 0.3497 0.3497
Cu 0.3497 0.3497 0.8391
Cu 0.6986 0.0000 0.3014
Cu 0.6503 0.6503 0.1609
Cu 0.1609 0.6503 0.6503
Cu 0.6503 0.1609 0.6503
Cu 0.0000 0.5000 0.0000
Cu 0.0000 0.0000 0.5000
Cu 0.3014 0.0000 0.6986
Cu 0.0000 0.6986 0.3014
Cu 0.3497 0.8391 0.3497
Au 0.1088 0.1088 0.1088
Au 0.8912 0.8912 0.8912
Dy 0.3457 0.3457 0.3457
Dy 0.6543 0.6543 0.6543

Computed properties:
Space group: R-3m (166)
DFT formation energy in eV per atom: -0.151

=====

(3)
VASP calculation (GGA-PBE) on a relaxed Ba2AgIr crystal.

abc: 3.7992 3.8955 9.2086
angles: 64.97 90.00 90.00
Fractional positions:
Ir 0.5000 0.2500 0.2500
Ba 0.0000 0.5313 0.4683
Ba 0.0000 0.9687 0.0317
Ag 0.5000 0.7500 0.7500

Computed properties:
Space group: Pmmm (47)
DFT formation energy in eV per atom: -0.054

=====

(4)
VASP calculation (GGA-PBE) on a relaxed Sm12GeRu6 crystal.

abc: 8.6471 8.6471 8.6472
angles: 109.47 109.47 109.47
Fractional positions:
Ru 0.6224 0.5000 0.1224
Ru 0.1224 0.6224 0.5000
Ru 0.3776 0.5000 0.8776
Ru 0.5000 0.8776 0.3776
Ru 0.5000 0.1224 0.6224
Ru 0.8776 0.3776 0.5000
Sm 0.8056 0.7053 0.5110
Sm 0.8056 0.2947 0.1003
Sm 0.2947 0.1003 0.8056
Sm 0.4890 0.1944 0.2947
Sm 0.8997 0.1944 0.7053
Sm 0.1003 0.8056 0.2947
Sm 0.2947 0.4890 0.1944
Sm 0.1944 0.7053 0.8997
Sm 0.7053 0.5110 0.8056
Sm 0.7053 0.8997 0.1944
Sm 0.5110 0.8056 0.7053
Sm 0.1944 0.2947 0.4890
Ge 0.0000 0.0000 0.0000

Computed properties:
Space group: Im-3 (204)
DFT formation energy in eV per atom: -0.230

=====

(5)
VASP calculation (GGA-PBE) on a relaxed TlOs2Pt crystal.

abc: 2.8761 2.8761 8.1513
angles: 90.00 90.00 90.00
Fractional positions:
Pt 0.0000 0.0000 0.4779
Tl 0.5000 0.5000 0.7558
Os 0.0000 0.0000 0.0336
Os 0.5000 0.5000 0.2327

Computed properties:
Space group: P4mm (99)
DFT formation energy in eV per atom: 0.386

=====

(6)
VASP calculation (GGA-PBE) on a relaxed Tb8PrTm4 crystal.

abc: 7.2682 7.2682 10.0100
angles: 90.00 111.29 120.00
Fractional positions:
Pr 0.0000 0.5000 0.5000
Tb 0.5018 0.7509 0.6996
Tb 0.9487 0.1978 0.6996
Tb 0.0513 0.8022 0.3004
Tb 0.9487 0.7509 0.6996
Tb 0.4982 0.2491 0.3004
Tb 0.4361 0.2180 0.6541
Tb 0.0513 0.2491 0.3004
Tb 0.5639 0.7820 0.3459
Tm 0.0000 0.5000 0.0000
Tm 0.0000 0.0000 0.0000
Tm 0.5000 0.0000 0.0000
Tm 0.5000 0.5000 0.0000

Computed properties:
Space group: R-3m (166)
DFT formation energy in eV per atom: 0.195

=====

(7)
VASP calculation (GGA-PBE) on a relaxed BeTlRh crystal.

abc: 3.8686 3.8686 3.6914
angles: 90.00 90.00 120.00
Fractional positions:
Rh 0.6667 0.3333 0.1664
Be 0.0000 0.0000 0.1671
Tl 0.3333 0.6667 0.6664

Computed properties:
Space group: P-6m2 (187)
DFT formation energy in eV per atom: 0.018

=====

(8)
VASP calculation (GGA-PBE) on a relaxed MgCd4O5 crystal.

abc: 3.3338 3.3338 11.9646
angles: 98.01 98.01 90.00
Fractional positions:
O 0.5000 0.5000 0.0000
O 0.3011 0.3011 0.6021
O 0.6989 0.6989 0.3979
O 0.0919 0.0919 0.1839
O 0.9081 0.9081 0.8161
Mg 0.0000 0.0000 0.0000
Cd 0.8024 0.8024 0.6048
Cd 0.4031 0.4031 0.8063
Cd 0.5969 0.5969 0.1937
Cd 0.1976 0.1976 0.3952

Computed properties:
Raw formation energy in eV/atom: -1.30
Space group: I4/mmm (139)

=====

(9)
VASP calculation (GGA-PBE) on a relaxed NiH2AuI crystal.

abc: 3.8389 5.2717 3.8389
angles: 90.00 90.00 90.00
Fractional positions:
H 0.5000 0.0000 0.0000
H 0.0000 0.0000 0.5000
Ni 0.0000 0.0000 0.0000
Au 0.5000 0.5000 0.5000
I 0.0000 0.5000 0.0000

Computed properties:
VASP energy in Ry/atom: -0.211
Space group: P4/mmm (123)

=====

(10)
VASP calculation (GGA-PBE) on a relaxed Ta3Re2Mo crystal.

abc: 3.2080 3.2080 9.6539
angles: 90.00 90.00 90.00
Fractional positions:
Mo 0.5000 0.5000 0.5000
Re 0.5000 0.5000 0.1654
Re 0.5000 0.5000 0.8346
Ta 0.0000 0.0000 0.0000
Ta 0.0000 0.0000 0.3323
Ta 0.0000 0.0000 0.6677

Computed properties:
Space group: P4/mmm (123)
DFT formation energy in eV per atom: -0.359

=====

(11)
VASP calculation (GGA-PBE) on a relaxed TbNd3Tl3Te8 crystal.

abc: 9.0094 9.0179 9.6778
angles: 117.79 90.01 119.98
Fractional positions:
Te 0.2368 0.4736 0.7190
Te 0.2587 0.5174 0.2761
Te 0.7413 0.4826 0.7239
Te 0.2368 0.9823 0.7191
Te 0.7632 0.0177 0.2809
Te 0.7632 0.5264 0.2810
Te 0.7455 0.9823 0.7190
Te 0.2545 0.0177 0.2810
Nd 0.5000 0.0000 0.5000
Nd 0.0000 0.5000 0.5000
Nd 0.5000 0.5000 0.5000
Tl 0.0000 0.5000 0.0000
Tl 0.5000 0.5000 0.0000
Tl 0.0000 0.0000 0.0000
Tb 0.0000 0.0000 0.5000

Computed properties:
Raw formation energy in eV/atom: -1.06
Space group: C2/m (12)

=====

(12)
VASP calculation (GGA-PBE) on a relaxed Ti2SiC crystal.

abc: 4.1877 4.1877 4.1877
angles: 60.00 60.00 60.00
Fractional positions:
Ti 0.2500 0.2500 0.2500
Ti 0.7500 0.7500 0.7500
Si 0.5000 0.5000 0.5000
C 0.0000 0.0000 0.0000

Computed properties:
Raw formation energy in eV/atom: 0.43
Space group: Fm-3m (225)

=====

(13)
VASP calculation (GGA-PBE) on a relaxed Sr2HgAs crystal.

abc: 5.5450 5.5450 5.5450
angles: 60.00 60.00 60.00
Fractional positions:
Sr 0.2500 0.2500 0.2500
Sr 0.7500 0.7500 0.7500
As 0.0000 0.0000 0.0000
Hg 0.5000 0.5000 0.5000

Computed properties:
Space group: Fm-3m (225)
DFT formation energy in eV per atom: -0.751

=====

(14)
VASP calculation (GGA-PBE) on a relaxed NdTl6Hg23 crystal.

abc: 10.6120 10.6120 10.6120
angles: 60.00 60.00 60.00
Fractional positions:
Hg 0.8642 0.3786 0.3786
Hg 0.5200 0.1600 0.1600
Hg 0.6214 0.6214 0.6214
Hg 0.8400 0.4800 0.8400
Hg 0.5000 0.0000 0.5000
Hg 0.3786 0.3786 0.8642
Hg 0.1600 0.1600 0.1600
Hg 0.8400 0.8400 0.4800
Hg 0.1600 0.1600 0.5200
Hg 0.0000 0.5000 0.5000
Hg 0.6214 0.1358 0.6214
Hg 0.0000 0.5000 0.0000
Hg 0.3786 0.8642 0.3786
Hg 0.4800 0.8400 0.8400
Hg 0.0000 0.0000 0.5000
Hg 0.1600 0.5200 0.1600
Hg 0.6214 0.6214 0.1358
Hg 0.1358 0.6214 0.6214
Hg 0.5000 0.5000 0.0000
Hg 0.3786 0.3786 0.3786
Hg 0.8400 0.8400 0.8400
Hg 0.0000 0.0000 0.0000
Hg 0.5000 0.0000 0.0000
Tl 0.7843 0.2157 0.7843
Tl 0.7843 0.7843 0.2157
Tl 0.2157 0.7843 0.7843
Tl 0.2157 0.7843 0.2157
Tl 0.2157 0.2157 0.7843
Tl 0.7843 0.2157 0.2157
Nd 0.5000 0.5000 0.5000

Computed properties:
Space group: Fm-3m (225)
DFT formation energy in eV per atom: -0.028

=====

(15)
VASP calculation (GGA-PBE) on a relaxed TlAs8 crystal.

abc: 6.9772 6.9772 6.9772
angles: 97.29 97.29 138.27
Fractional positions:
As 0.2871 0.7129 0.0000
As 0.3612 0.0000 0.3612
As 0.0000 0.6388 0.6388
As 0.2871 0.2871 0.5742
As 0.7129 0.7129 0.4258
As 0.7129 0.2871 0.0000
As 0.6388 0.0000 0.6388
As 0.0000 0.3612 0.3612
Tl 0.0000 0.0000 0.0000

Computed properties:
Space group: I4/mmm (139)
DFT formation energy in eV per atom: 0.421

=====

(16)
VASP calculation (GGA-PBE) on a relaxed TcS2ClF crystal.

abc: 4.5239 4.5239 4.7930
angles: 90.00 90.00 90.00
Fractional positions:
Cl 0.0000 0.0000 0.5000
F 0.5000 0.5000 0.5000
S 0.5000 0.0000 0.0000
S 0.0000 0.5000 0.0000
Tc 0.0000 0.0000 0.0000

Computed properties:
Raw formation energy in eV/atom: -0.02
Space group: P4/mmm (123)

=====

(17)
VASP calculation (GGA-PBE) on a relaxed CsSmCu2I6 crystal.

abc: 7.9420 10.3009 10.3009
angles: 93.39 86.45 86.45
Fractional positions:
I 0.6151 0.4263 0.2841
I 0.5963 0.1811 0.5946
I 0.0963 0.5946 0.1811
I 0.3849 0.5737 0.7159
I 0.1703 0.9962 0.7338
I 0.6703 0.7338 0.9962
I 0.8297 0.0038 0.2662
I 0.4037 0.8189 0.4054
I 0.9037 0.4054 0.8189
I 0.8849 0.7159 0.5737
I 0.1151 0.2841 0.4263
I 0.3297 0.2662 0.0038
Sm 0.7500 0.7104 0.2896
Sm 0.2500 0.2896 0.7104
Cs 0.2500 0.9159 0.0841
Cs 0.7500 0.0841 0.9159
Cu 0.2920 0.3986 0.2457
Cu 0.2080 0.7543 0.6014
Cu 0.7920 0.2457 0.3986
Cu 0.7080 0.6014 0.7543

Computed properties:
Raw formation energy in eV/atom: -0.87
Space group: C2/c (15)

=====

(18)
VASP calculation (GGA-PBE) on a relaxed NiHSeN2 crystal.

abc: 3.5042 3.5042 5.3863
angles: 90.00 90.00 90.00
Each line ends with the local moment (μB).
Fractional positions:
Se 0.0000 0.0000 0.5000  0.14
N 0.0000 0.5000 0.0000  0.34
N 0.5000 0.0000 0.0000  0.34
H 0.5000 0.5000 0.5000  0.00
Ni 0.0000 0.0000 0.0000  0.19

Computed properties:
VASP energy in Ry/atom: -0.315
Space group: P4/mmm (123)

=====

(19)
VASP calculation (GGA-PBE) on a relaxed La8Ce2Pr crystal.

abc: 5.7020 8.4159 9.6353
angles: 115.88 107.21 90.00
Each line ends with the local moment (μB).
Fractional positions:
La 0.1583 0.1583 0.3166  0.01
La 0.6415 0.4403 0.2830  0.02
La 0.8417 0.8417 0.6834  0.01
La 0.3584 0.1569 0.7168  0.02
La 0.3585 0.5597 0.7170  0.02
La 0.9999 0.2993 0.9999  0.01
La 0.6416 0.8431 0.2832  0.02
La 0.0001 0.7007 0.0001  0.01
Pr 0.5000 0.0000 0.0000  -0.02
Ce 0.1987 0.6984 0.3975  0.69
Ce 0.8013 0.3016 0.6025  0.69

Computed properties:
Space group: Immm (71)
DFT formation energy in eV per atom: 0.136

=====

(20)
VASP calculation (GGA-PBE) on a relaxed BiRuPt2 crystal.

abc: 5.2139 5.2139 8.1326
angles: 71.30 71.30 90.00
Fractional positions:
Ru 0.5000 0.5000 0.0000
Ru 0.2500 0.7500 0.5000
Pt 0.8750 0.8118 0.7500
Pt 0.5618 0.1250 0.2500
Pt 0.3750 0.4382 0.7500
Pt 0.1882 0.6250 0.2500
Bi 0.0000 0.0000 0.0000
Bi 0.7500 0.2500 0.5000

Computed properties:
Space group: I-42d (122)
DFT formation energy in eV per atom: 0.609